VASP calculation (GGA-PBE) on a geometry-optimized Pm3PrAl structure.

The energy above the most stable polymorph in this dataset is 0.167 eV per atom. Its formation energy is 47 meV per atom.

Cell: 5.942 8.052 8.051 Å, 120.00 90.00 90.00°
Element x y z (fractional)
Pm  0.750  0.624  0.812
Pm  0.250  0.812  0.188
Pm  0.750  0.188  0.812
Pm  0.250  0.812  0.624
Pm  0.750  0.188  0.376
Pm  0.250  0.376  0.188
Al  0.500  0.000  0.000
Al  0.000  0.000  0.000
Pr  0.750  0.667  0.333
Pr  0.250  0.333  0.667

***

VASP calculation (GGA-PBE) on a geometry-optimized Zr2Sc2Cu structure.

The energy above the most stable polymorph in this dataset is 0.000 eV per atom. Its formation energy is 186 meV per atom.

Cell: 6.877 6.877 4.669 Å, 90.00 90.00 90.00°
Element x y z (fractional)
Cu  0.500  0.500  0.000
Cu  0.000  0.000  0.000
Sc  0.348  0.848  0.000
Sc  0.652  0.152  0.000
Sc  0.848  0.652  0.000
Sc  0.152  0.348  0.000
Zr  0.152  0.652  0.500
Zr  0.348  0.152  0.500
Zr  0.652  0.848  0.500
Zr  0.848  0.348  0.500

***

VASP calculation (GGA-PBE) on a geometry-optimized ScFeCl structure.

The value obtained for the calculated total energy is -5.304 eV/atom.

Cell: 4.024 4.024 4.024 Å, 60.00 60.00 60.00°
Element x y z (fractional)
Cl  0.500  0.500  0.500
Fe  0.750  0.750  0.750
Sc  0.000  0.000  0.000

***

VASP calculation (GGA-PBE) on a geometry-optimized TaIn2Sb structure.

The value obtained for the calculated total energy is -4.787 eV/atom.

Cell: 5.067 5.067 5.067 Å, 60.00 60.00 60.00°
Each line ends with the local moment (μB).
Element x y z (fractional)
Sb  0.500  0.500  0.500  -0.03
In  0.000  0.000  0.000  0.00
In  0.750  0.750  0.750  0.00
Ta  0.250  0.250  0.250  0.49